Sc5Tl2Ni2Pd: optimized geometry, PBE.

Values from the calculation:
Energy of formation from the pure elements   -0.45 eV/atom

Geometry as CIF:
```
data_Sc5Tl2Ni2Pd
_chemical_formula_sum 'Sc10 Tl4 Ni4 Pd2'
_cell_length_a 11.031
_cell_length_b 11.031
_cell_length_c 3.286
_cell_angle_alpha 90.00
_cell_angle_beta 90.00
_cell_angle_gamma 90.00
_symmetry_space_group_name_H-M 'P 4/m b m'
_symmetry_Int_Tables_number 127
_symmetry_space_group_name_Hall '-P 4 2ab'
loop_
_atom_site_label
_atom_site_fract_x
_atom_site_fract_y
_atom_site_fract_z
Sc1 0.000 0.500 0.000
Sc2 0.069 0.201 0.000
Tl1 0.174 0.674 0.500
Ni1 0.130 0.370 0.500
Pd1 0.000 0.000 0.500
```

ScV2NiPd: optimized geometry, PBE.

Values from the calculation:
Energy of formation from the pure elements   1.39 eV/atom

Geometry as CIF:
```
data_ScV2NiPd
_chemical_formula_sum 'Sc1 V2 Ni1 Pd1'
_cell_length_a 4.388
_cell_length_b 4.388
_cell_length_c 4.337
_cell_angle_alpha 90.00
_cell_angle_beta 90.00
_cell_angle_gamma 90.00
_symmetry_space_group_name_H-M 'P 4/m m m'
_symmetry_Int_Tables_number 123
_symmetry_space_group_name_Hall '-P 4 2'
loop_
_atom_site_label
_atom_site_fract_x
_atom_site_fract_y
_atom_site_fract_z
Sc1 0.000 0.000 0.000
V1 0.000 0.500 0.000
Ni1 0.000 0.000 0.500
Pd1 0.500 0.500 0.500
```

YScNiPd: optimized geometry, PBE.

Values from the calculation:
Energy of formation from the pure elements   -0.61 eV/atom

Geometry as CIF:
```
data_YScNiPd
_chemical_formula_sum 'Y4 Sc4 Ni4 Pd4'
_cell_length_a 6.733
_cell_length_b 6.733
_cell_length_c 6.733
_cell_angle_alpha 90.00
_cell_angle_beta 90.00
_cell_angle_gamma 90.00
_symmetry_space_group_name_H-M 'F -4 3 m'
_symmetry_Int_Tables_number 216
_symmetry_space_group_name_Hall 'F -4 2 3'
loop_
_atom_site_label
_atom_site_fract_x
_atom_site_fract_y
_atom_site_fract_z
Y1 0.000 0.000 0.000
Sc1 0.000 0.000 0.500
Ni1 0.250 0.250 0.250
Pd1 0.250 0.250 0.750
```

ScZnNiPd: optimized geometry, PBE.

Values from the calculation:
Energy of formation from the pure elements   -0.58 eV/atom

Geometry as CIF:
```
data_ScZnNiPd
_chemical_formula_sum 'Sc4 Zn4 Ni4 Pd4'
_cell_length_a 6.235
_cell_length_b 6.235
_cell_length_c 6.235
_cell_angle_alpha 90.00
_cell_angle_beta 90.00
_cell_angle_gamma 90.00
_symmetry_space_group_name_H-M 'F -4 3 m'
_symmetry_Int_Tables_number 216
_symmetry_space_group_name_Hall 'F -4 2 3'
loop_
_atom_site_label
_atom_site_fract_x
_atom_site_fract_y
_atom_site_fract_z
Sc1 0.000 0.000 0.000
Zn1 0.000 0.000 0.500
Ni1 0.250 0.250 0.250
Pd1 0.250 0.250 0.750
```

Sc4ZnNi2Pd: optimized geometry, PBE.

Values from the calculation:
Energy of formation from the pure elements   -0.55 eV/atom

Geometry as CIF:
```
data_Sc4ZnNi2Pd
_chemical_formula_sum 'Sc12 Zn3 Ni6 Pd3'
_cell_length_a 4.5968
_cell_length_b 4.5968
_cell_length_c 22.6108
_cell_angle_alpha 90.00
_cell_angle_beta 90.00
_cell_angle_gamma 120.00
_symmetry_space_group_name_H-M 'R -3 m'
_symmetry_Int_Tables_number 166
_symmetry_space_group_name_Hall '-R 3 2"'
loop_
_atom_site_label
_atom_site_fract_x
_atom_site_fract_y
_atom_site_fract_z
Sc1 0.0000 0.0000 0.1242
Sc2 0.0000 0.0000 0.3744
Zn1 0.0000 0.0000 0.5000
Ni1 0.0000 0.0000 0.2477
Pd1 0.0000 0.0000 0.0000
```

Sc4ZnNiPd2: optimized geometry, PBE.

Values from the calculation:
Energy of formation from the pure elements   -0.66 eV/atom

Geometry as CIF:
```
data_Sc4ZnNiPd2
_chemical_formula_sum 'Sc12 Zn3 Ni3 Pd6'
_cell_length_a 4.6565
_cell_length_b 4.6565
_cell_length_c 22.8329
_cell_angle_alpha 90.00
_cell_angle_beta 90.00
_cell_angle_gamma 120.00
_symmetry_space_group_name_H-M 'R -3 m'
_symmetry_Int_Tables_number 166
_symmetry_space_group_name_Hall '-R 3 2"'
loop_
_atom_site_label
_atom_site_fract_x
_atom_site_fract_y
_atom_site_fract_z
Sc1 0.0000 0.0000 0.1205
Sc2 0.0000 0.0000 0.3712
Zn1 0.0000 0.0000 0.5000
Ni1 0.0000 0.0000 0.0000
Pd1 0.0000 0.0000 0.2471
```

ZrScNiPd: optimized geometry, PBE.

Values from the calculation:
Energy of formation from the pure elements   -0.56 eV/atom

Geometry as CIF:
```
data_ZrScNiPd
_chemical_formula_sum 'Zr4 Sc4 Ni4 Pd4'
_cell_length_a 6.545
_cell_length_b 6.545
_cell_length_c 6.545
_cell_angle_alpha 90.00
_cell_angle_beta 90.00
_cell_angle_gamma 90.00
_symmetry_space_group_name_H-M 'F -4 3 m'
_symmetry_Int_Tables_number 216
_symmetry_space_group_name_Hall 'F -4 2 3'
loop_
_atom_site_label
_atom_site_fract_x
_atom_site_fract_y
_atom_site_fract_z
Zr1 0.000 0.000 0.000
Sc1 0.000 0.000 0.500
Ni1 0.250 0.250 0.250
Pd1 0.250 0.250 0.750
```

Ni2PdSe4: optimized geometry, PBE.

Values from the calculation:
Raw formation energy   -1.0 eV per formula unit

Geometry as CIF:
```
data_Ni2PdSe4
_chemical_formula_sum 'Ni4 Pd2 Se8'
_cell_length_a 7.880
_cell_length_b 7.880
_cell_length_c 4.908
_cell_angle_alpha 90.00
_cell_angle_beta 90.00
_cell_angle_gamma 90.00
_symmetry_space_group_name_H-M 'I 4/m'
_symmetry_Int_Tables_number 87
_symmetry_space_group_name_Hall '-I 4'
loop_
_atom_site_label
_atom_site_fract_x
_atom_site_fract_y
_atom_site_fract_z
Ni1 0.000 0.500 0.250
Pd1 0.000 0.000 0.000
Se1 0.130 0.286 0.000
```

Ni3PdSe: optimized geometry, PBE.

Values from the calculation:
Distance to the lowest polymorph of the same formula   734 meV per atom
Raw formation energy   5.9 eV per formula unit

Geometry as CIF:
```
data_Ni3PdSe
_chemical_formula_sum 'Ni3 Pd1 Se1'
_cell_length_a 4.564
_cell_length_b 4.564
_cell_length_c 4.564
_cell_angle_alpha 90.00
_cell_angle_beta 90.00
_cell_angle_gamma 90.00
_symmetry_space_group_name_H-M 'P m -3 m'
_symmetry_Int_Tables_number 221
_symmetry_space_group_name_Hall '-P 4 2 3'
loop_
_atom_site_label
_atom_site_fract_x
_atom_site_fract_y
_atom_site_fract_z
Ni1 0.000 0.000 0.500
Pd1 0.000 0.000 0.000
Se1 0.500 0.500 0.500
```

Ni6PdSe8: optimized geometry, PBE.

Values from the calculation:
Raw formation energy   -1.2 eV per formula unit

Geometry as CIF:
```
data_Ni6PdSe8
_chemical_formula_sum 'Ni18 Pd3 Se24'
_cell_length_a 10.7922
_cell_length_b 10.7922
_cell_length_c 8.3803
_cell_angle_alpha 90.00
_cell_angle_beta 90.00
_cell_angle_gamma 120.00
_symmetry_space_group_name_H-M 'R -3'
_symmetry_Int_Tables_number 148
_symmetry_space_group_name_Hall '-R 3'
loop_
_atom_site_label
_atom_site_fract_x
_atom_site_fract_y
_atom_site_fract_z
Ni1 0.0871 0.8692 0.4139
Pd1 0.0000 0.0000 0.0000
Se1 0.0000 0.0000 0.2871
Se2 0.0073 0.3496 0.7272
```

Ni4PdSe8: optimized geometry, PBE.

Values from the calculation:
Raw formation energy   -3.5 eV per formula unit

Geometry as CIF:
```
data_Ni4PdSe8
_chemical_formula_sum 'Ni8 Pd2 Se16'
_cell_length_a 10.983
_cell_length_b 7.213
_cell_length_c 8.292
_cell_angle_alpha 90.00
_cell_angle_beta 130.84
_cell_angle_gamma 90.00
_symmetry_space_group_name_H-M 'C 1 2/m 1'
_symmetry_Int_Tables_number 12
_symmetry_space_group_name_Hall '-C 2y'
loop_
_atom_site_label
_atom_site_fract_x
_atom_site_fract_y
_atom_site_fract_z
Ni1 0.000 0.239 0.000
Ni2 0.241 0.000 0.492
Pd1 0.000 0.500 0.500
Se1 0.024 0.500 0.836
Se2 0.032 0.000 0.831
Se3 0.222 0.246 0.672
```

NiPd3Se: optimized geometry, PBE.

Values from the calculation:
Distance to the lowest polymorph of the same formula   0 meV per atom
Raw formation energy   2.7 eV per formula unit

Geometry as CIF:
```
data_NiPd3Se
_chemical_formula_sum 'Ni1 Pd3 Se1'
_cell_length_a 4.643
_cell_length_b 4.643
_cell_length_c 4.643
_cell_angle_alpha 90.00
_cell_angle_beta 90.00
_cell_angle_gamma 90.00
_symmetry_space_group_name_H-M 'P m -3 m'
_symmetry_Int_Tables_number 221
_symmetry_space_group_name_Hall '-P 4 2 3'
loop_
_atom_site_label
_atom_site_fract_x
_atom_site_fract_y
_atom_site_fract_z
Ni1 0.000 0.000 0.000
Pd1 0.000 0.500 0.500
Se1 0.500 0.500 0.500
```

Calculated theoretical density, 7.1, 6.2, 6.5, 7.5, 5.6, 6.0, 7.1, 5.9, 6.3, 6.4, 6.5, 7.6 g/cm3 (same order as the records).
Calculated magnetic moment, 0.0, 1.0, 0.0, 0.0, 0.0, 0.0, 0.0, 0.0, 3.3, 0.0, 0.0, 1.1 μB per cell (same order as the records).